Record 1
Material: LaRuAu2
Method: DFT, SCAN
State: single point on PBEsol structure

Values from the calculation:
Crystal system   trigonal
Calculated formation energy   -0.393 eV per atom
Energy above the most stable polymorph in this dataset   0 meV/atom
Theoretical density   12.16 g cm⁻³
E   -54.455 eV per atom
N(E_F)   7.3 states/eV/cell
Space-group type   No. 160

a = 4.5922 Å, b = 4.5922 Å, c = 14.2239 Å
α = 90.00°, β = 90.00°, γ = 120.00°
With the nearest neighbours (Å) after each atom.
Fractional positions:
La: 0.0000 0.0000 0.0000  1 Ru 2.58
La: 0.3333 0.6667 0.6667  1 Ru 2.58
La: 0.6667 0.3333 0.3333  1 Ru 2.58
Ru: 0.0000 0.0000 0.8187  1 La 2.58, 6 Au 2.65-2.77
Ru: 0.3333 0.6667 0.4853  1 La 2.58, 6 Au 2.65-2.77
Ru: 0.6667 0.3333 0.1520  1 La 2.58, 6 Au 2.65-2.77
Au: 0.0000 0.0000 0.2092  3 Ru 2.77, 3 Au 2.82, 1 La 2.98
Au: 0.0000 0.0000 0.4755  3 Ru 2.65, 3 Au 2.82
Au: 0.3333 0.6667 0.1422  3 Ru 2.65, 3 Au 2.82
Au: 0.3333 0.6667 0.8759  3 Ru 2.77, 3 Au 2.82, 1 La 2.98
Au: 0.6667 0.3333 0.5426  3 Ru 2.77, 3 Au 2.82, 1 La 2.98
Au: 0.6667 0.3333 0.8089  3 Ru 2.65, 3 Au 2.82

Record 2
Material: La2RuAu
Method: DFT, SCAN
State: single point on PBEsol structure

Values from the calculation:
Crystal system   cubic
Calculated formation energy   -0.547 eV per atom
Theoretical density   10.22 g cm⁻³
E   -48.096 eV per atom
N(E_F)   8.6 states/eV/cell
Space-group type   No. 225

a = 7.2058 Å, b = 7.2058 Å, c = 7.2058 Å
α = 90.00°, β = 90.00°, γ = 90.00°
With the nearest neighbours (Å) after each atom.
Fractional positions:
La: 0.2500 0.2500 0.2500  4 Ru 3.12, 4 Au 3.12
La: 0.2500 0.2500 0.7500  4 Ru 3.12, 4 Au 3.12
La: 0.2500 0.7500 0.2500  4 Ru 3.12, 4 Au 3.12
La: 0.2500 0.7500 0.7500  4 Ru 3.12, 4 Au 3.12
La: 0.7500 0.2500 0.2500  4 Ru 3.12, 4 Au 3.12
La: 0.7500 0.2500 0.7500  4 Ru 3.12, 4 Au 3.12
La: 0.7500 0.7500 0.2500  4 Ru 3.12, 4 Au 3.12
La: 0.7500 0.7500 0.7500  4 Ru 3.12, 4 Au 3.12
Ru: 0.0000 0.0000 0.0000  8 La 3.12
Ru: 0.0000 0.5000 0.5000  8 La 3.12
Ru: 0.5000 0.0000 0.5000  8 La 3.12
Ru: 0.5000 0.5000 0.0000  8 La 3.12
Au: 0.0000 0.0000 0.5000  8 La 3.12
Au: 0.0000 0.5000 0.0000  8 La 3.12
Au: 0.5000 0.0000 0.0000  8 La 3.12
Au: 0.5000 0.5000 0.5000  8 La 3.12

Record 3
Material: LaRuAu
Method: DFT, SCAN
State: single point on PBEsol structure

Values from the calculation:
Crystal system   cubic
Calculated formation energy   -0.058 eV per atom
Theoretical density   10.80 g cm⁻³
E   -49.087 eV per atom
N(E_F)   8.2 states/eV/cell
Space-group type   No. 216

a = 6.4530 Å, b = 6.4530 Å, c = 6.4530 Å
α = 90.00°, β = 90.00°, γ = 90.00°
With the nearest neighbours (Å) after each atom.
Fractional positions:
La: 0.0000 0.0000 0.0000  4 Ru 2.79
La: 0.0000 0.5000 0.5000  4 Ru 2.79
La: 0.5000 0.0000 0.5000  4 Ru 2.79
La: 0.5000 0.5000 0.0000  4 Ru 2.79
Ru: 0.2500 0.2500 0.7500  4 La 2.79, 4 Au 2.79
Ru: 0.2500 0.7500 0.2500  4 La 2.79, 4 Au 2.79
Ru: 0.7500 0.2500 0.2500  4 La 2.79, 4 Au 2.79
Ru: 0.7500 0.7500 0.7500  4 La 2.79, 4 Au 2.79
Au: 0.0000 0.0000 0.5000  4 Ru 2.79
Au: 0.0000 0.5000 0.0000  4 Ru 2.79
Au: 0.5000 0.0000 0.0000  4 Ru 2.79
Au: 0.5000 0.5000 0.5000  4 Ru 2.79

Record 4
Material: LaRuAu2
Method: DFT, SCAN
State: single point on PBEsol structure

Values from the calculation:
Crystal system   tetragonal
Calculated formation energy   -0.319 eV per atom
Energy above the most stable polymorph in this dataset   74 meV/atom
Theoretical density   14.03 g cm⁻³
E   -54.381 eV per atom
N(E_F)   2.5 states/eV/cell
Space-group type   No. 123

a = 4.0834 Å, b = 4.0834 Å, c = 4.4983 Å
α = 90.00°, β = 90.00°, γ = 90.00°
With the nearest neighbours (Å) after each atom.
Fractional positions:
La: 0.0000 0.0000 0.0000  4 Ru 2.89, 8 Au 3.04
Ru: 0.5000 0.5000 0.0000  4 La 2.89, 8 Au 3.04
Au: 0.0000 0.5000 0.5000  4 Au 2.89, 4 La 3.04, 4 Ru 3.04
Au: 0.5000 0.0000 0.5000  4 Au 2.89, 4 La 3.04, 4 Ru 3.04

Record 5
Material: La2RuAu
Method: DFT, SCAN
State: single point on PBEsol structure

Values from the calculation:
Crystal system   tetragonal
Calculated formation energy   -0.547 eV per atom
Theoretical density   10.21 g cm⁻³
E   -48.096 eV per atom
N(E_F)   2.2 states/eV/cell
Space-group type   No. 123

a = 5.1107 Å, b = 5.1107 Å, c = 3.5871 Å
α = 90.00°, β = 90.00°, γ = 90.00°
With the nearest neighbours (Å) after each atom.
Fractional positions:
La: 0.0000 0.5000 0.0000  4 Ru 3.12, 4 Au 3.12
La: 0.5000 0.0000 0.0000  4 Ru 3.12, 4 Au 3.12
Ru: 0.0000 0.0000 0.5000  8 La 3.12
Au: 0.5000 0.5000 0.5000  8 La 3.12

Record 6
Material: La2RuAu
Method: DFT, SCAN
State: single point on PBEsol structure

Values from the calculation:
Crystal system   monoclinic
Calculated formation energy   -0.594 eV per atom
Theoretical density   10.14 g cm⁻³
E   -48.143 eV per atom
N(E_F)   2.1 states/eV/cell
Space-group type   No. 10

a = 3.4346 Å, b = 3.6908 Å, c = 7.4829 Å
α = 90.00°, β = 96.38°, γ = 90.00°
With the nearest neighbours (Å) after each atom.
Fractional positions:
La: 0.0637 0.0000 0.2702  2 Ru 2.83
La: 0.9363 0.0000 0.7298  2 Ru 2.83
Ru: 0.5000 0.5000 0.5000  4 La 2.83
Au: 0.5000 0.5000 0.0000  8 La 3.22-3.23, 2 Au 3.43